Entry 1:
An optimized crystal structure of KAc2Hg8, computed with PBE.

Crystal system: monoclinic
ΔH_f (0 K): -0.297 eV per atom
Fermi-level density of states: 6.0 states/eV per cell

Cell: 8.6348 8.6348 7.8740 Å, 112.67 112.67 36.77°
Closest atoms and distances in Å follow each position.
Element x y z (fractional)
K1 0.0000 0.0000 0.0000  12 Hg 3.25-3.58
Ac1 0.2978 0.2978 0.3545  10 Hg 3.30-3.62
Ac2 0.7022 0.7022 0.6454  10 Hg 3.30-3.62
Hg1 0.0874 0.0874 0.4551  4 Hg 3.15-3.24, 1 K 3.27, 2 Ac 3.30
Hg2 0.1717 0.1717 0.8931  2 Hg 3.10-3.15, 1 K 3.25, 1 Ac 3.37
Hg3 0.3467 0.3467 0.8303  3 Hg 3.10-3.25
Hg4 0.4834 0.4834 0.2662  5 Hg 3.17-3.50, 1 Ac 3.38, 2 K 3.51
Hg5 0.5166 0.5166 0.7338  5 Hg 3.17-3.50, 1 Ac 3.38, 2 K 3.51
Hg6 0.6533 0.6533 0.1697  3 Hg 3.10-3.25
Hg7 0.8283 0.8283 0.1069  2 Hg 3.10-3.15, 1 K 3.25, 1 Ac 3.37
Hg8 0.9126 0.9126 0.5449  4 Hg 3.15-3.24, 1 K 3.27, 2 Ac 3.30

***

Entry 2:
An optimized crystal structure of K2AcHg10, computed with PBE.

Crystal system: monoclinic
ΔH_f (0 K): -0.249 eV per atom
Fermi-level density of states: 16.5 states/eV per cell

Cell: 9.4534 6.3786 12.6806 Å, 90.00 90.02 90.00°
Closest atoms and distances in Å follow each position.
Element x y z (fractional)
K1 0.9996 0.1368 0.1425  12 Hg 3.56-3.77
K2 0.9996 0.3632 0.6425  12 Hg 3.56-3.77
K3 0.0004 0.6368 0.3575  12 Hg 3.56-3.77
K4 0.0004 0.8632 0.8575  12 Hg 3.56-3.77
Ac1 0.5000 0.0000 0.5000  12 Hg 3.44-3.56
Ac2 0.5000 0.5000 0.0000  12 Hg 3.44-3.56
Hg1 0.1592 0.6400 0.0966  5 Hg 3.01-3.20
Hg2 0.1592 0.8600 0.5966  5 Hg 3.01-3.20
Hg3 0.1596 0.1399 0.4040  5 Hg 3.01-3.21
Hg4 0.1596 0.3601 0.9040  5 Hg 3.01-3.21
Hg5 0.3380 0.9999 0.0006  4 Hg 3.06-3.42
Hg6 0.3380 0.5001 0.5006  4 Hg 3.06-3.42
Hg7 0.3423 0.1990 0.7237  5 Hg 2.97-3.26
Hg8 0.3423 0.3010 0.2237  5 Hg 2.97-3.26
Hg9 0.3431 0.6989 0.7764  5 Hg 2.97-3.26
Hg10 0.3431 0.8011 0.2764  5 Hg 2.97-3.26
Hg11 0.6569 0.1989 0.7236  5 Hg 2.97-3.26
Hg12 0.6569 0.3011 0.2236  5 Hg 2.97-3.26
Hg13 0.6577 0.6990 0.7763  5 Hg 2.97-3.26
Hg14 0.6577 0.8010 0.2763  5 Hg 2.97-3.26
Hg15 0.6620 0.0001 0.9994  4 Hg 3.06-3.42
Hg16 0.6620 0.4999 0.4994  4 Hg 3.06-3.42
Hg17 0.8404 0.6399 0.0960  5 Hg 3.01-3.21
Hg18 0.8404 0.8601 0.5960  5 Hg 3.01-3.21
Hg19 0.8408 0.1400 0.4034  5 Hg 3.01-3.20
Hg20 0.8408 0.3600 0.9034  5 Hg 3.01-3.20

***

Entry 3:
An optimized crystal structure of KAcHg4, computed with PBE.

Crystal system: cubic
ΔH_f (0 K): -0.201 eV per atom
Fermi-level density of states: 4.8 states/eV per cell
Distance to the lowest polymorph of the same formula: 131 meV per atom

Cell: 6.2801 6.2801 6.2801 Å, 60.00 60.00 60.00°
Closest atoms and distances in Å follow each position.
Element x y z (fractional)
K1 0.0000 0.0000 0.0000  12 Hg 3.68, 4 Ac 3.85
Ac1 0.2500 0.2500 0.2500  12 Hg 3.68, 4 K 3.85
Hg1 0.1247 0.6251 0.6251  6 Hg 3.14
Hg2 0.6251 0.1247 0.6251  6 Hg 3.14
Hg3 0.6251 0.6251 0.1247  6 Hg 3.14
Hg4 0.6251 0.6251 0.6251  6 Hg 3.14

***

Entry 4:
An optimized crystal structure of K2AcHg3, computed with PBE.

Crystal system: orthorhombic
ΔH_f (0 K): -0.271 eV per atom
Fermi-level density of states: 8.0 states/eV per cell

Cell: 9.1033 9.1033 8.5551 Å, 90.00 90.00 143.26°
Closest atoms and distances in Å follow each position.
Element x y z (fractional)
K1 0.0000 0.0000 0.0000  8 Hg 3.68-3.83, 4 K 4.07
K2 0.0000 0.0000 0.5000  8 Hg 3.49-3.53
K3 0.3331 0.6669 0.0000  8 Hg 3.66-3.74, 4 K 4.06-4.07
K4 0.6669 0.3331 0.0000  8 Hg 3.66-3.74, 4 K 4.06-4.07
Ac1 0.3351 0.6649 0.5000  8 Hg 3.37-3.47
Ac2 0.6649 0.3351 0.5000  8 Hg 3.37-3.47
Hg1 0.1732 0.8268 0.2803  3 Ac 3.37-3.43, 4 K 3.53-3.74, 1 Hg 3.76
Hg2 0.1732 0.8268 0.7197  3 Ac 3.37-3.43, 4 K 3.53-3.74, 1 Hg 3.76
Hg3 0.5000 0.5000 0.2685  2 Ac 3.47, 6 K 3.49-3.69
Hg4 0.5000 0.5000 0.7315  2 Ac 3.47, 6 K 3.49-3.69
Hg5 0.8268 0.1732 0.2803  3 Ac 3.37-3.43, 4 K 3.53-3.74, 1 Hg 3.76
Hg6 0.8268 0.1732 0.7197  3 Ac 3.37-3.43, 4 K 3.53-3.74, 1 Hg 3.76